a:
Density functional theory data (GGA-PBE) for a relaxed WC3 crystal.

Unit cell a=2.8666 b=2.8813 c=4.7633 alpha=59.07 beta=90.00 gamma=90.00
Closest atoms and distances in Å follow each position.
Element x y z (fractional)
C 0.0000 0.4625 0.5677  1 C 1.53
C 0.5000 0.7500 0.7500  2 W 2.05, 8 C 2.06-2.28
C 0.0000 0.0375 0.9323  1 C 1.53
W 0.5000 0.2500 0.2500  2 C 2.05

Computed properties:
The value obtained for the density of states at the Fermi level is 1.06 states/eV/cell.



b:
Density functional theory data (GGA-PBE) for a relaxed WC3 crystal.

Unit cell a=3.9184 b=3.9184 c=3.9184 alpha=141.31 beta=118.38 gamma=75.18
Closest atoms and distances in Å follow each position.
Element x y z (fractional)
C 0.8167 0.8167 0.0000  2 C 1.73
C 0.1833 0.1833 0.0000  2 C 1.73
C 0.0000 0.5000 0.5000  4 C 1.73
W 0.5000 0.0000 0.5000  12 C 2.31-2.39

Computed properties:
The value obtained for the density of states at the Fermi level is 1.50 states/eV/cell.



c:
Density functional theory data (GGA-PBE) for a relaxed WC3 crystal.

Unit cell a=4.0834 b=4.0834 c=4.0834 alpha=90.00 beta=90.00 gamma=90.00
Closest atoms and distances in Å follow each position.
Element x y z (fractional)
W 0.5000 0.5000 0.5000  12 C 2.28
W 0.0000 0.0000 0.0000  12 C 2.28
C 0.0000 0.7500 0.5000  2 C 2.04, 4 W 2.28
C 0.0000 0.2500 0.5000  2 C 2.04, 4 W 2.28
C 0.7500 0.5000 0.0000  2 C 2.04, 4 W 2.28
C 0.5000 0.0000 0.2500  2 C 2.04, 4 W 2.28
C 0.5000 0.0000 0.7500  2 C 2.04, 4 W 2.28
C 0.2500 0.5000 0.0000  2 C 2.04, 4 W 2.28

Computed properties:
The value obtained for the density of states at the Fermi level is 3.34 states/eV/cell.



Computed relative energies in units of meV per atom: a 24; b 0; c 366



a:
Density functional theory data (GGA-PBE) for a relaxed WC3 crystal.

Unit cell a=3.2215 b=3.2215 c=4.1444 alpha=90.00 beta=90.00 gamma=120.00
Closest atoms and distances in Å follow each position.
Element x y z (fractional)
C 0.0000 0.0000 0.0673  1 C 1.51
C 0.6667 0.3333 0.2500  6 C 2.01, 2 W 2.07
C 0.0000 0.0000 0.4327  1 C 1.51
W 0.6667 0.3333 0.7500  8 C 2.07-2.28

Computed properties:
The value obtained for the density of states at the Fermi level is 1.11 states/eV/cell.



b:
Density functional theory data (GGA-PBE) for a relaxed WC3 crystal.

Unit cell a=3.6159 b=3.6159 c=2.8180 alpha=90.00 beta=90.00 gamma=107.42
Closest atoms and distances in Å follow each position.
Element x y z (fractional)
C 0.5000 0.5000 0.0000  2 W 2.14, 8 C 2.29
C 0.0000 0.5000 0.5000  6 C 2.14-2.29, 4 W 2.29
C 0.5000 0.0000 0.5000  6 C 2.14-2.29, 4 W 2.29
W 0.0000 0.0000 0.0000  10 C 2.14-2.29

Computed properties:
The value obtained for the density of states at the Fermi level is 1.28 states/eV/cell.



Computed relative energies in units of meV per atom: a 0; b 595



a:
Density functional theory data (GGA-PBE) for a relaxed W5C3 crystal.

Unit cell a=6.3243 b=6.3243 c=5.5556 alpha=90.00 beta=90.00 gamma=120.00
Closest atoms and distances in Å follow each position.
Element x y z (fractional)
W 0.6667 0.3333 0.5000  6 C 2.37
W 0.0000 0.2450 0.2500  3 C 2.22-2.23
W 0.2450 0.2450 0.7500  3 C 2.22-2.23
W 0.3333 0.6667 0.0000  6 C 2.37
W 0.2450 0.0000 0.2500  3 C 2.22-2.23
W 0.7550 0.7550 0.2500  3 C 2.22-2.23
W 0.6667 0.3333 0.0000  6 C 2.37
W 0.7550 0.0000 0.7500  3 C 2.22-2.23
W 0.0000 0.7550 0.7500  3 C 2.22-2.23
W 0.3333 0.6667 0.5000  6 C 2.37
C 0.0000 0.4045 0.7500  7 W 2.22-2.37
C 0.5955 0.5955 0.7500  7 W 2.22-2.37
C 0.4046 0.0000 0.7500  7 W 2.22-2.37
C 0.5955 0.0000 0.2500  7 W 2.22-2.37
C 0.4046 0.4045 0.2500  7 W 2.22-2.37
C 0.0000 0.5955 0.2500  7 W 2.22-2.37

Computed properties:
The value obtained for the density of states at the Fermi level is 10.06 states/eV/cell.



b:
Density functional theory data (GGA-PBE) for a relaxed W5C3 crystal.

Unit cell a=5.9658 b=5.9658 c=2.9829 alpha=90.00 beta=90.00 gamma=106.56
Closest atoms and distances in Å follow each position.
Element x y z (fractional)
W 0.0000 0.5000 0.0000  4 C 2.43
W 0.3105 0.3105 0.5000  2 C 2.01
W 0.6895 0.6895 0.5000  2 C 2.01
W 0.0000 0.0000 0.0000  4 C 2.25
W 0.5000 0.0000 0.0000  4 C 2.43
C 0.5000 0.5000 0.0000  4 W 2.01
C 0.1760 0.8240 0.5000  6 W 2.25-2.43
C 0.8240 0.1760 0.5000  6 W 2.25-2.43

Computed properties:
The value obtained for the density of states at the Fermi level is 6.18 states/eV/cell.



c:
Density functional theory data (GGA-PBE) for a relaxed W5C3 crystal.

Unit cell a=8.5710 b=6.6066 c=6.6066 alpha=80.88 beta=49.56 gamma=49.56
Closest atoms and distances in Å follow each position.
Element x y z (fractional)
W 0.7577 0.9637 0.0947  5 C 2.28-2.43
W 0.5358 0.7419 0.3166  5 C 2.28-2.43
W 0.4053 0.3162 0.7423  5 C 2.28-2.43
W 0.9053 0.2419 0.8166  5 C 2.28-2.43
W 0.2577 0.5943 0.4642  5 C 2.28-2.43
W 0.1812 0.3184 0.3188  2 C 2.27
W 0.6812 0.8184 0.8188  2 C 2.27
W 0.0358 0.8162 0.2423  5 C 2.28-2.43
W 0.6834 0.4637 0.5947  5 C 2.28-2.43
W 0.1834 0.0943 0.9642  5 C 2.28-2.43
C 0.4286 0.7015 0.0714  7 W 2.27-2.43
C 0.2981 0.2015 0.5714  7 W 2.27-2.43
C 0.7099 0.2897 0.2901  8 W 2.29-2.35
C 0.2099 0.7897 0.7901  8 W 2.29-2.35
C 0.7981 0.0710 0.7019  7 W 2.27-2.43
C 0.9286 0.5710 0.2019  7 W 2.27-2.43

Computed properties:
The value obtained for the density of states at the Fermi level is 3.55 states/eV/cell.



d:
Density functional theory data (GGA-PBE) for a relaxed W5C3 crystal.

Unit cell a=2.7553 b=2.7553 c=12.5095 alpha=90.00 beta=90.00 gamma=90.00
Closest atoms and distances in Å follow each position.
Element x y z (fractional)
W 0.5000 0.5000 0.6049  4 C 2.35, 1 W 2.62
W 0.0000 0.0000 0.0000  8 C 2.44, 2 W 2.66
W 0.5000 0.5000 0.3951  4 C 2.35, 1 W 2.62
W 0.0000 0.0000 0.2128  4 C 2.29
W 0.0000 0.0000 0.7872  4 C 2.29
C 0.5000 0.5000 0.8832  8 W 2.29-2.44
C 0.0000 0.0000 0.5000  8 W 2.35
C 0.5000 0.5000 0.1168  8 W 2.29-2.44

Computed properties:
The value obtained for the density of states at the Fermi level is 5.14 states/eV/cell.



Computed relative energies in units of meV per atom: a 183; b 372; c 0; d 208



a:
Density functional theory data (GGA-PBE) for a relaxed W3C crystal.

Unit cell a=2.8089 b=2.8089 c=7.5943 alpha=90.00 beta=90.00 gamma=113.62
Closest atoms and distances in Å follow each position.
Element x y z (fractional)
C 0.0000 0.0000 0.0000  4 W 2.14
W 0.5000 0.5000 0.8046  2 C 2.14
W 0.5000 0.5000 0.1954  2 C 2.14
W 0.0000 0.0000 0.5000  10 W 2.78-3.08

Computed properties:
The value obtained for the density of states at the Fermi level is 2.72 states/eV/cell.



b:
Density functional theory data (GGA-PBE) for a relaxed W3C crystal.

Unit cell a=4.7920 b=4.7920 c=4.7920 alpha=143.65 beta=119.20 gamma=72.95
Closest atoms and distances in Å follow each position.
Element x y z (fractional)
W 0.6936 0.6936 0.0000  2 C 2.11
W 0.3064 0.3064 0.0000  2 C 2.11
W 0.0000 0.5000 0.5000  10 W 2.79-2.99, 4 C 2.85
C 0.5000 0.0000 0.5000  4 W 2.11

Computed properties:
The value obtained for the density of states at the Fermi level is 2.21 states/eV/cell.



c:
Density functional theory data (GGA-PBE) for a relaxed W3C crystal.

Unit cell a=4.3611 b=4.3611 c=3.0716 alpha=90.00 beta=90.00 gamma=104.87
Closest atoms and distances in Å follow each position.
Element x y z (fractional)
W 0.5000 0.5000 0.0000  2 C 2.66, 8 W 2.67
W 0.5000 0.0000 0.5000  6 W 2.66-2.67, 4 C 2.67
W 0.0000 0.5000 0.5000  6 W 2.66-2.67, 4 C 2.67
C 0.0000 0.0000 0.0000  10 W 2.66-2.67

Computed properties:
The value obtained for the density of states at the Fermi level is 1.94 states/eV/cell.



Computed relative energies in units of meV per atom: a 0; b 54; c 801



a:
Density functional theory data (GGA-PBE) for a relaxed W3C crystal.

Unit cell a=5.0105 b=5.5696 c=7.6037 alpha=90.00 beta=90.00 gamma=90.00
Closest atoms and distances in Å follow each position.
Element x y z (fractional)
W 0.3312 0.8171 0.4303  2 C 2.20-2.24
W 0.1688 0.3171 0.4303  2 C 2.20-2.24
W 0.1688 0.3171 0.0697  2 C 2.20-2.24
W 0.1703 0.0383 0.7500  2 C 2.18-2.24
W 0.6688 0.1829 0.9303  2 C 2.20-2.24
W 0.6688 0.1829 0.5697  2 C 2.20-2.24
W 0.6703 0.4617 0.2500  2 C 2.18-2.24
W 0.8297 0.9617 0.2500  2 C 2.18-2.24
W 0.3312 0.8171 0.0697  2 C 2.20-2.24
W 0.8312 0.6829 0.9303  2 C 2.20-2.24
W 0.3297 0.5383 0.7500  2 C 2.18-2.24
W 0.8312 0.6829 0.5697  2 C 2.20-2.24
C 0.9332 0.3788 0.7500  6 W 2.18-2.24
C 0.0668 0.6212 0.2500  6 W 2.18-2.24
C 0.4332 0.1212 0.2500  6 W 2.18-2.24
C 0.5668 0.8788 0.7500  6 W 2.18-2.24

Computed properties:
The value obtained for the density of states at the Fermi level is 5.45 states/eV/cell.



b:
Density functional theory data (GGA-PBE) for a relaxed W3C crystal.

Unit cell a=9.2811 b=9.2811 c=9.2811 alpha=157.65 beta=157.65 gamma=31.82
Closest atoms and distances in Å follow each position.
Element x y z (fractional)
W 0.0000 0.5000 0.5000  4 C 2.32, 4 W 2.54
W 0.5000 0.0000 0.5000  4 C 2.32, 4 W 2.54
W 0.2500 0.7500 0.5000  4 W 2.54
W 0.8738 0.8738 0.0000  4 C 2.67, 8 W 2.85-2.88
W 0.7500 0.2500 0.5000  4 W 2.54
W 0.1262 0.1262 0.0000  4 C 2.67, 8 W 2.85-2.88
C 0.5817 0.5817 0.0000  4 W 2.32
C 0.4183 0.4183 0.0000  4 W 2.32

Computed properties:
The value obtained for the density of states at the Fermi level is 3.77 states/eV/cell.



c:
Density functional theory data (GGA-PBE) for a relaxed W3C crystal.

Unit cell a=5.3456 b=5.3456 c=4.4912 alpha=90.00 beta=90.00 gamma=120.00
Closest atoms and distances in Å follow each position.
Element x y z (fractional)
W 0.1669 0.8331 0.7500  8 W 2.67-2.73, 4 C 2.67-2.72
W 0.8331 0.1669 0.2500  8 W 2.67-2.73, 4 C 2.67-2.72
W 0.1669 0.3339 0.7500  8 W 2.67-2.73, 4 C 2.67-2.72
W 0.3339 0.1669 0.2500  8 W 2.67-2.73, 4 C 2.67-2.72
W 0.6661 0.8331 0.7500  8 W 2.67-2.73, 4 C 2.67-2.72
W 0.8331 0.6661 0.2500  8 W 2.67-2.73, 4 C 2.67-2.72
C 0.6667 0.3333 0.7500  12 W 2.67-2.72
C 0.3333 0.6667 0.2500  12 W 2.67-2.72

Computed properties:
The value obtained for the density of states at the Fermi level is 3.85 states/eV/cell.



d:
Density functional theory data (GGA-PBE) for a relaxed W3C crystal.

Unit cell a=4.8051 b=4.8051 c=4.8051 alpha=90.00 beta=90.00 gamma=90.00
Closest atoms and distances in Å follow each position.
Element x y z (fractional)
W 0.2500 0.5000 0.0000  2 W 2.40, 4 C 2.69
W 0.5000 0.0000 0.7500  2 W 2.40, 4 C 2.69
W 0.5000 0.0000 0.2500  2 W 2.40, 4 C 2.69
W 0.0000 0.7500 0.5000  2 W 2.40, 4 C 2.69
W 0.0000 0.2500 0.5000  2 W 2.40, 4 C 2.69
W 0.7500 0.5000 0.0000  2 W 2.40, 4 C 2.69
C 0.5000 0.5000 0.5000  12 W 2.69
C 0.0000 0.0000 0.0000  12 W 2.69

Computed properties:
The value obtained for the density of states at the Fermi level is 3.90 states/eV/cell.



Computed relative energies in units of meV per atom: a 0; b 1005; c 1101; d 1035



a:
Density functional theory data (GGA-PBE) for a relaxed W2C3 crystal.

Unit cell a=6.7011 b=5.6492 c=5.1531 alpha=76.53 beta=55.07 gamma=48.40
Closest atoms and distances in Å follow each position.
Element x y z (fractional)
C 0.8471 0.1529 0.1529  2 W 1.98
C 0.1886 0.7855 0.6389  1 C 1.56
C 0.6111 0.8630 0.0614  1 C 1.56
C 0.0971 0.4029 0.4029  2 W 1.98
C 0.4645 0.0614 0.8630  1 C 1.56
C 0.3870 0.6389 0.7855  1 C 1.56
W 0.0174 0.6057 0.0670  4 C 1.98-2.20
W 0.3099 0.0670 0.6057  4 C 1.98-2.20
W 0.6443 0.2326 0.9401  4 C 1.98-2.20
W 0.1830 0.9401 0.2326  4 C 1.98-2.20

Computed properties:
The value obtained for the density of states at the Fermi level is 0.08 states/eV/cell.



b:
Density functional theory data (GGA-PBE) for a relaxed W2C3 crystal.

Unit cell a=8.5721 b=8.5721 c=8.5721 alpha=20.77 beta=20.77 gamma=20.77
Closest atoms and distances in Å follow each position.
Element x y z (fractional)
C 0.0000 0.0000 0.0000  6 W 2.26
C 0.7608 0.7608 0.7608  3 W 2.04
C 0.2392 0.2392 0.2392  3 W 2.04
W 0.6116 0.6116 0.6116  6 C 2.04-2.26
W 0.3884 0.3884 0.3884  6 C 2.04-2.26

Computed properties:
The value obtained for the density of states at the Fermi level is 0.01 states/eV/cell.



Computed relative energies in units of meV per atom: a 0; b 59